(1)
Density functional theory data (GGA-PBE) for Ac5TbPb6 after structural relaxation.

Values from the calculation:
Total magnetic moment (μB/atom): 0.000
DOS at the Fermi energy (states/eV/cell): 10.71
DFT formation energy (meV per atom): -467

abc: 5.445 9.293 9.766
angles: 61.59 74.30 90.00
Element x y z (fractional)
Pb 0.840 0.595 0.320
Pb 0.840 0.085 0.320
Pb 0.500 0.757 0.000
Pb 0.500 0.243 0.000
Pb 0.160 0.915 0.680
Pb 0.160 0.405 0.680
Ac 0.664 0.164 0.672
Ac 0.332 0.332 0.337
Ac 0.000 0.500 0.000
Ac 0.668 0.668 0.663
Ac 0.336 0.836 0.328
Tb 0.000 0.000 0.000

=====

(2)
Density functional theory data (GGA-PBE) for Pd7PbSe2 after structural relaxation.

Values from the calculation:
Total magnetic moment (μB/atom): 0.000
DOS at the Fermi energy (states/eV/cell): 5.81
Formation energy without anion corrections (eV per atom): -0.19

abc: 4.195 4.195 10.552
angles: 101.47 101.47 90.00
Element x y z (fractional)
Pd 0.100 0.600 0.201
Pd 0.400 0.900 0.799
Pd 0.600 0.100 0.201
Pd 0.500 0.500 0.000
Pd 0.750 0.250 0.500
Pd 0.900 0.400 0.799
Pd 0.250 0.750 0.500
Pb 0.000 0.000 0.000
Se 0.674 0.674 0.348
Se 0.326 0.326 0.652

=====

(3)
Density functional theory data (GGA-PBE) for PmPb2 after structural relaxation.

Values from the calculation:
Total magnetic moment (μB/atom): 0.000
DOS at the Fermi energy (states/eV/cell): 3.98
DFT formation energy (meV per atom): -437

abc: 4.562 4.658 8.780
angles: 105.38 90.00 90.00
Element x y z (fractional)
Pm 0.750 0.096 0.193
Pm 0.250 0.904 0.807
Pb 0.250 0.567 0.133
Pb 0.750 0.433 0.867
Pb 0.750 0.749 0.498
Pb 0.250 0.251 0.502